No. 1
A relaxed structure of Ac7PbI12, computed with GGA-PBE.

abc: 10.5999 10.5999 10.5999
angles: 108.85 108.85 108.85
Fractional positions:
I 0.3034 0.7761 0.9249
I 0.7761 0.9249 0.3034
I 0.1584 0.4041 0.4900
I 0.6966 0.2239 0.0751
I 0.5100 0.8416 0.5959
I 0.0751 0.6966 0.2239
I 0.8416 0.5959 0.5100
I 0.5959 0.5100 0.8416
I 0.9249 0.3034 0.7761
I 0.2239 0.0751 0.6966
I 0.4041 0.4900 0.1584
I 0.4900 0.1584 0.4041
Ac 0.8678 0.9414 0.6531
Ac 0.1322 0.0586 0.3469
Ac 0.0586 0.3469 0.1322
Ac 0.6531 0.8678 0.9414
Ac 0.3469 0.1322 0.0586
Ac 0.9414 0.6531 0.8678
Ac 0.5000 0.5000 0.5000
Pb 0.0000 0.0000 0.0000

Properties
As for the space group: R-3. Its uncorrected formation energy is -2475 kJ/mol of formula units. The density of states at the Fermi level comes out at 11.82 states/eV/f.u.

***

No. 2
A relaxed structure of CrC2, computed with GGA-PBE.

abc: 6.4692 6.4692 2.7066
angles: 90.00 90.00 157.03
Site moments in Bohr magnetons follow the coordinates.
Fractional positions:
C 0.0000 0.0000 0.0000  -0.05
C 0.7819 0.2181 0.5000  -0.02
C 0.5000 0.5000 0.5000  -0.04
C 0.2181 0.7819 0.5000  -0.02
Cr 0.6261 0.3739 0.0000  0.87
Cr 0.3739 0.6261 0.0000  0.87

Properties
As for the space group: Cmmm. Its energy above the most stable polymorph in this dataset is 1.50 eV per formula unit. The density of states at the Fermi level comes out at 1.83 states/eV/f.u. Its calculated formation energy is 3.0 eV/f.u.

***

| no. | M_tot (μB per cell) |
| --- | --- |
| 1 | 0.000 |
| 2 | 1.645 |